RbLi2CdI6: optimized geometry, PBE-GGA.

a b c (Å): 15.436 16.271 9.276
angles (deg): 90.00 119.01 90.00
Space group C2/c (No. 15)
Symmetry-distinct sites (fractional):
Rb 0.000 0.122 0.250 (multiplicity 4)
Li 0.166 0.417 0.085 (multiplicity 8)
Cd 0.000 0.174 0.750 (multiplicity 4)
I 0.109 0.254 0.054 (multiplicity 8)
I 0.120 0.475 0.329 (multiplicity 8)
I 0.131 0.065 0.702 (multiplicity 8)

Computed properties:
- ΔE_f (raw): -0.896 eV/atom
- Total magnetic moment: 4.08 Bohr magnetons per cell


KBaPb2: optimized geometry, PBE-GGA.

a b c (Å): 3.684 5.418 7.799
angles (deg): 90.00 90.19 90.00
Space group P2/m (No. 10)
Symmetry-distinct sites (fractional):
K 0.000 0.000 0.000 (multiplicity 1)
Ba 0.000 0.000 0.500 (multiplicity 1)
Pb 0.499 0.500 0.285 (multiplicity 2)

Computed properties:
- Total magnetic moment: 0.00 Bohr magnetons per cell
- Energy relative to the elements: -0.28 eV per atom


ScCd2Ir: optimized geometry, PBE-GGA.

a b c (Å): 4.094 4.094 8.853
angles (deg): 90.00 90.00 90.00
Space group I4/mmm (No. 139)
Symmetry-distinct sites (fractional):
Sc 0.000 0.000 0.000 (multiplicity 2)
Cd 0.000 0.500 0.250 (multiplicity 4)
Ir 0.000 0.000 0.500 (multiplicity 2)

Computed properties:
- Total magnetic moment: 0.00 Bohr magnetons per cell
- Energy relative to the elements: -0.33 eV per atom


Ce2TlCl6: optimized geometry, PBE-GGA.

a b c (Å): 7.7444 7.7444 19.7006
angles (deg): 90.00 90.00 120.00
Space group R3 (No. 146, hexagonal axes)
Symmetry-distinct sites (fractional):
Ce 0.0000 0.0000 0.0000 (multiplicity 3)
Ce 0.0000 0.0000 0.1877 (multiplicity 3)
Tl 0.0000 0.0000 0.5042 (multiplicity 3)
Cl 0.0006 0.3656 0.5928 (multiplicity 9)
Cl 0.0066 0.7265 0.0937 (multiplicity 9)

Computed properties:
- ΔE_f (raw): -1.857 eV/atom
- Total magnetic moment: 9.01 Bohr magnetons per cell